A relaxed structure of MgTiH2, computed with GGA-PBE.

Unit cell a=5.4218 b=5.4218 c=5.4218 alpha=90.00 beta=90.00 gamma=90.00
With the nearest neighbours (Å) after each atom.
Space group Fm-3m (No. 225)
Unique sites:
Mg: 0.0000 0.0000 0.0000  8 H 2.35
Ti: 0.0000 0.0000 0.5000  8 H 2.35
H: 0.2500 0.2500 0.2500  4 Mg 2.35, 4 Ti 2.35

Values from the calculation:
**N(E_F)**: 0.38 states/eV/atom
**Total energy**: -3.7045 eV/atom
**Crystal system**: cubic

A relaxed structure of Y3TeS2, computed with GGA-PBE.

Unit cell a=4.1061 b=13.8368 c=10.7281 alpha=90.00 beta=90.00 gamma=90.00
With the nearest neighbours (Å) after each atom.
Space group Cmcm (No. 63)
Unique sites:
Y: 0.0000 0.0745 0.2500  4 S 2.63-2.87
Y: 0.0000 0.3554 0.0444  3 S 2.61-2.91
Te: 0.0000 0.2581 0.7500  8 Y 3.10-3.43
S: 0.0000 0.0000 0.0000  6 Y 2.87-2.91
S: 0.0000 0.4562 0.2500  4 Y 2.61-2.63

Values from the calculation:
**E_form (uncorrected)**: -9.1 eV per formula unit
**N(E_F)**: 0.67 states/eV/atom
**Total energy**: -6.6516 eV/atom
**Crystal system**: orthorhombic

A relaxed structure of NaTi4O8, computed with GGA-PBE.

Unit cell a=5.9668 b=5.9668 c=17.3819 alpha=90.00 beta=90.00 gamma=120.00
With the nearest neighbours (Å) after each atom.
Space group R-3m (No. 166, hexagonal axes)
Unique sites:
Na: 0.0000 0.0000 0.0000  6 O 2.53
Ti: 0.0000 0.0000 0.5000  6 O 2.02
Ti: 0.0000 0.5000 0.5000  6 O 1.98-2.00
O: 0.0000 0.0000 0.2234  3 Ti 1.98
O: 0.0036 0.5018 0.7742  3 Ti 2.00-2.02

Values from the calculation:
**E_form (uncorrected)**: -36.7 eV per formula unit
**N(E_F)**: 0.42 states/eV/atom
**Total energy**: -8.4017 eV/atom
**Crystal system**: trigonal

A relaxed structure of VSb2TeI, computed with GGA-PBE.

Unit cell a=5.7700 b=5.7700 c=5.8536 alpha=90.00 beta=90.00 gamma=90.00
With the nearest neighbours (Å) after each atom.
Space group P4/mmm (No. 123)
Unique sites:
V: 0.0000 0.0000 0.0000  4 I 4.08, 8 Sb 4.11
Sb: 0.0000 0.5000 0.5000  2 Te 2.89
Te: 0.5000 0.5000 0.5000  4 Sb 2.89, 2 I 2.93
I: 0.5000 0.5000 0.0000  2 Te 2.93

Values from the calculation:
**E_form (uncorrected)**: 5.9 eV per formula unit
**N(E_F)**: 1.96 states/eV/atom
**Total energy**: -3.2216 eV/atom
**Crystal system**: tetragonal

A relaxed structure of Sm2Y4Er3, computed with GGA-PBE.

Unit cell a=16.2185 b=11.6113 c=6.1478 alpha=90.00 beta=95.87 gamma=90.00
With the nearest neighbours (Å) after each atom.
Space group C2/c (No. 15)
Unique sites:
Sm: 0.1210 0.1452 0.3230  4 Y 3.27-3.61, 4 Er 3.42-3.49
Y: 0.0469 0.3580 0.0138  1 Sm 3.27, 4 Er 3.39-3.50, 3 Y 3.41-3.63
Y: 0.2138 0.1381 0.8484  1 Y 3.34, 4 Er 3.36-3.51, 3 Sm 3.42-3.61
Er: 0.0000 0.0952 0.7500  4 Sm 3.42-3.48, 4 Y 3.49-3.50, 2 Er 3.79
Er: 0.1658 0.4021 0.5894  6 Y 3.36-3.51, 2 Sm 3.44-3.49

Values from the calculation:
**DFT formation energy**: 94 meV/atom
**N(E_F)**: 1.44 states/eV/atom
**Total energy**: -5.3486 eV/atom
**Crystal system**: monoclinic

A relaxed structure of Zn2SiSn2, computed with GGA-PBE.

Unit cell a=6.6708 b=6.6708 c=4.7346 alpha=90.00 beta=90.00 gamma=90.00
With the nearest neighbours (Å) after each atom.
Space group P4/mbm (No. 127)
Unique sites:
Zn: 0.1357 0.3643 0.0000  1 Zn 2.56, 2 Si 2.59
Si: 0.0000 0.0000 0.0000  4 Zn 2.59
Sn: 0.1799 0.6799 0.5000  6 Zn 2.94-3.18

Values from the calculation:
**E_form (uncorrected)**: 1.2 eV per formula unit
**N(E_F)**: 0.33 states/eV/atom
**Total energy**: -2.9558 eV/atom
**Crystal system**: tetragonal